# PBE-GGA KRbAuF6, relaxed
# uncorrected formation energy: -1861 meV per atom
# size of the total moment: 0.11 μB per atom
data_KRbAuF6
_symmetry_space_group_name_H-M 'P 1'
_symmetry_Int_Tables_number 1
_cell_length_a 4.8190
_cell_length_b 5.9349
_cell_length_c 6.1854
_cell_angle_alpha 118.59
_cell_angle_beta 90.48
_cell_angle_gamma 90.02
loop_
_symmetry_equiv_pos_as_xyz
'x,y,z'
loop_
_atom_site_label
_atom_site_fract_x
_atom_site_fract_y
_atom_site_fract_z
K1 0.0000 0.0000 0.0000
Rb1 0.5554 0.3484 0.6966
Au1 0.2722 0.6759 0.3518
F1 0.0437 0.5125 0.5035
F2 0.0451 0.9914 0.4943
F3 0.0470 0.4944 0.9985
F4 0.4920 0.8586 0.7109
F5 0.4965 0.3582 0.2071
F6 0.4978 0.8402 0.1989



# PBE-GGA KRb2AuF, relaxed
# uncorrected formation energy: -1145 meV per atom
# size of the total moment: 0.00 μB per atom
# energy relative to the lowest polymorph listed for this composition: 0 kJ/mol of formula units
# N(E_F): 2.929 states/eV/f.u.
data_KRb2AuF
_symmetry_space_group_name_H-M 'P 4/m m m'
_symmetry_Int_Tables_number 123
_symmetry_space_group_name_Hall '-P 4 2'
_cell_length_a 5.6516
_cell_length_b 5.6516
_cell_length_c 5.3204
_cell_angle_alpha 90.00
_cell_angle_beta 90.00
_cell_angle_gamma 90.00
loop_
_atom_site_label
_atom_site_fract_x
_atom_site_fract_y
_atom_site_fract_z
K1 0.0000 0.0000 0.0000
Rb1 0.0000 0.5000 0.5000
Au1 0.5000 0.5000 0.0000
F1 0.0000 0.0000 0.5000



# PBE-GGA K2RhAuF6, relaxed
# uncorrected formation energy: -1816 meV per atom
# size of the total moment: 0.02 μB per atom
data_K2RhAuF6
_symmetry_space_group_name_H-M 'F m -3 m'
_symmetry_Int_Tables_number 225
_symmetry_space_group_name_Hall '-F 4 2 3'
_cell_length_a 8.8120
_cell_length_b 8.8120
_cell_length_c 8.8120
_cell_angle_alpha 90.00
_cell_angle_beta 90.00
_cell_angle_gamma 90.00
loop_
_atom_site_label
_atom_site_fract_x
_atom_site_fract_y
_atom_site_fract_z
K1 0.2500 0.2500 0.2500
Rh1 0.0000 0.0000 0.0000
Au1 0.0000 0.0000 0.5000
F1 0.0000 0.0000 0.2310



# PBE-GGA K2RuAuF6, relaxed
# uncorrected formation energy: -1787 meV per atom
# size of the total moment: 0.10 μB per atom
# N(E_F): 11.508 states/eV/f.u.
data_K2RuAuF6
_symmetry_space_group_name_H-M 'F m -3 m'
_symmetry_Int_Tables_number 225
_symmetry_space_group_name_Hall '-F 4 2 3'
_cell_length_a 8.8872
_cell_length_b 8.8872
_cell_length_c 8.8872
_cell_angle_alpha 90.00
_cell_angle_beta 90.00
_cell_angle_gamma 90.00
loop_
_atom_site_label
_atom_site_fract_x
_atom_site_fract_y
_atom_site_fract_z
K1 0.2500 0.2500 0.2500
Ru1 0.0000 0.0000 0.0000
Au1 0.0000 0.0000 0.5000
F1 0.0000 0.0000 0.2288



# PBE-GGA KAuSF2, relaxed
# uncorrected formation energy: -1028 meV per atom
# size of the total moment: 0.15 μB per atom
# N(E_F): 3.074 states/eV/f.u.
data_KAuSF2
_symmetry_space_group_name_H-M 'P 4/m m m'
_symmetry_Int_Tables_number 123
_symmetry_space_group_name_Hall '-P 4 2'
_cell_length_a 4.6510
_cell_length_b 4.6510
_cell_length_c 4.6649
_cell_angle_alpha 90.00
_cell_angle_beta 90.00
_cell_angle_gamma 90.00
loop_
_atom_site_label
_atom_site_fract_x
_atom_site_fract_y
_atom_site_fract_z
K1 0.0000 0.0000 0.0000
Au1 0.5000 0.5000 0.5000
S1 0.5000 0.5000 0.0000
F1 0.0000 0.5000 0.5000



# PBE-GGA K2SbAuF6, relaxed
# uncorrected formation energy: -2063 meV per atom
# size of the total moment: 0.00 μB per atom
data_K2SbAuF6
_symmetry_space_group_name_H-M 'F m -3 m'
_symmetry_Int_Tables_number 225
_symmetry_space_group_name_Hall '-F 4 2 3'
_cell_length_a 9.3030
_cell_length_b 9.3030
_cell_length_c 9.3030
_cell_angle_alpha 90.00
_cell_angle_beta 90.00
_cell_angle_gamma 90.00
loop_
_atom_site_label
_atom_site_fract_x
_atom_site_fract_y
_atom_site_fract_z
K1 0.2500 0.2500 0.2500
Sb1 0.0000 0.0000 0.0000
Au1 0.0000 0.0000 0.5000
F1 0.0000 0.0000 0.2337



# PBE-GGA KSnAuF2, relaxed
# uncorrected formation energy: -1225 meV per atom
# size of the total moment: 0.00 μB per atom
# N(E_F): 0.000 states/eV/f.u.
data_KSnAuF2
_symmetry_space_group_name_H-M 'P 4/m m m'
_symmetry_Int_Tables_number 123
_symmetry_space_group_name_Hall '-P 4 2'
_cell_length_a 4.5468
_cell_length_b 4.5468
_cell_length_c 8.9811
_cell_angle_alpha 90.00
_cell_angle_beta 90.00
_cell_angle_gamma 90.00
loop_
_atom_site_label
_atom_site_fract_x
_atom_site_fract_y
_atom_site_fract_z
K1 0.0000 0.0000 0.0000
Sn1 0.0000 0.0000 0.5000
Au1 0.5000 0.5000 0.0000
F1 0.0000 0.5000 0.5000



# PBE-GGA K2TiAuF, relaxed
# uncorrected formation energy: 267 meV per atom
# size of the total moment: 0.61 μB per atom
# N(E_F): 4.648 states/eV/f.u.
data_K2TiAuF
_symmetry_space_group_name_H-M 'P 4/m m m'
_symmetry_Int_Tables_number 123
_symmetry_space_group_name_Hall '-P 4 2'
_cell_length_a 6.6107
_cell_length_b 6.6107
_cell_length_c 4.4032
_cell_angle_alpha 90.00
_cell_angle_beta 90.00
_cell_angle_gamma 90.00
loop_
_atom_site_label
_atom_site_fract_x
_atom_site_fract_y
_atom_site_fract_z
K1 0.0000 0.5000 0.0000
Ti1 0.0000 0.0000 0.5000
Au1 0.5000 0.5000 0.0000
F1 0.5000 0.5000 0.5000